The following is a DFT calculation (PBE) of a relaxed structure of LiPmZnPt2.

The value obtained for the total energy is -4.815 eV per atom.

The structure belongs to space group I-4m2 (No. 119); the cell edges are 3.906, 3.906 and 12.357 Å and the angles 90.00°, 90.00° and 90.00°. Symmetry generates all atoms from Li at (0.000, 0.000, 0.000), Pm at (0.000, 0.500, 0.750), Zn at (0.000, 0.000, 0.500) and Pt at (0.000, 0.500, 0.140).